{"formula": "UNiAg", "functional": "PBE", "state": "relaxed", "e_tot_ev_per_fu": -16.67, "lattice_angstrom": [[0.000, 3.258, 3.258], [3.258, 0.000, 3.258], [3.258, 3.258, 0.000]], "species": ["Ni", "U", "Ag"], "fractional_positions": [[0.750, 0.750, 0.750], [0.000, 0.000, 0.000], [0.250, 0.250, 0.250]]}


{"formula": "Ta4CdC2S", "functional": "PBE", "state": "relaxed", "e_tot_ev_per_fu": -75.05, "lattice_angstrom": [[3.224, 0.000, 0.000], [-1.612, 2.792, 0.000], [0.000, 0.000, 13.097]], "species": ["Ta", "S", "Ta", "Cd", "Ta", "Ta", "C", "C"], "fractional_positions": [[0.000, 0.000, 0.863], [0.333, 0.667, 0.000], [0.000, 0.000, 0.137], [0.000, 0.000, 0.500], [0.333, 0.667, 0.687], [0.333, 0.667, 0.313], [0.667, 0.333, 0.771], [0.667, 0.333, 0.229]]}


{"formula": "Al2WAu", "functional": "PBE", "state": "relaxed", "e_tot_ev_per_fu": -22.18, "lattice_angstrom": [[0.000, 3.196, 3.196], [3.196, 0.000, 3.196], [3.196, 3.196, 0.000]], "species": ["Al", "Al", "Au", "W"], "fractional_positions": [[0.000, 0.000, 0.000], [0.250, 0.250, 0.250], [0.500, 0.500, 0.500], [0.750, 0.750, 0.750]]}